# PBE CdHg2BiPb4, optimized geometry
data_CdHg2BiPb4
_symmetry_space_group_name_H-M 'P 1'
_symmetry_Int_Tables_number 1
_cell_length_a 10.094
_cell_length_b 10.094
_cell_length_c 11.617
_cell_angle_alpha 90.00
_cell_angle_beta 90.00
_cell_angle_gamma 155.77
loop_
_symmetry_equiv_pos_as_xyz
'x,y,z'
loop_
_atom_site_label
_atom_site_type_symbol
_atom_site_fract_x
_atom_site_fract_y
_atom_site_fract_z
Cd1 Cd 0.096 0.904 0.750
Cd2 Cd 0.904 0.096 0.250
Hg1 Hg 0.383 0.617 0.042
Hg2 Hg 0.383 0.617 0.458
Hg3 Hg 0.617 0.383 0.542
Hg4 Hg 0.617 0.383 0.958
Bi1 Bi 0.161 0.839 0.250
Bi2 Bi 0.839 0.161 0.750
Pb1 Pb 0.000 0.000 0.000
Pb2 Pb 0.000 0.000 0.500
Pb3 Pb 0.240 0.760 0.609
Pb4 Pb 0.240 0.760 0.891
Pb5 Pb 0.468 0.532 0.750
Pb6 Pb 0.532 0.468 0.250
Pb7 Pb 0.760 0.240 0.109
Pb8 Pb 0.760 0.240 0.391
# Space group ... Cmcm (63)
# ΔH_f (0 K) ... 66 meV per atom